Below is a relaxed structure of PmH2I3, with properties calculated at the PBE-GGA level.

The uncorrected energy is -21.699 eV/f.u. Its total magnetic moment is 0.000 μB per formula unit.

a b c (Å): 7.875 8.392 8.430
angles (deg): 76.51 77.32 74.39
Positions (direct):
Pm 0.000 0.000 0.000
Pm 0.500 0.000 0.000
H 0.028 0.475 0.532
H 0.466 0.536 0.481
H 0.534 0.464 0.519
H 0.972 0.525 0.468
I 0.192 0.299 0.885
I 0.207 0.905 0.298
I 0.352 0.796 0.818
I 0.648 0.204 0.182
I 0.793 0.095 0.702
I 0.808 0.701 0.115